Run i
Here is a geometry-optimized Pm3Dy6Tm2 structure from the Alexandria database. Energies are from PBE.

Results
SG	I4/mmm
D(E_F)	1.5881	states/eV per atom
theoretical density	7781	kg/m3

Lattice parameters (Å, degrees): 4.744 4.744 16.912 98.06 98.06 90.00
Atoms (fractional coordinates):
Pm: 0.000 0.000 0.000
Pm: 0.798 0.798 0.596
Pm: 0.202 0.202 0.404
Dy: 0.120 0.620 0.240
Dy: 0.620 0.120 0.240
Dy: 0.880 0.380 0.760
Dy: 0.380 0.880 0.760
Dy: 0.694 0.694 0.388
Dy: 0.306 0.306 0.612
Tm: 0.454 0.454 0.908
Tm: 0.546 0.546 0.092

***

Run ii
Here is a geometry-optimized Pm3Dy6Tm2 structure from the Alexandria database. Energies are from PBE.

Results
SG	R-3m
D(E_F)	1.2915	states/eV per atom
theoretical density	8280	kg/m3

Lattice parameters (Å, degrees): 3.563 3.563 31.940 86.80 86.80 60.00
Atoms (fractional coordinates):
Pm: 0.000 0.000 0.000
Pm: 0.728 0.728 0.816
Pm: 0.272 0.272 0.184
Dy: 0.908 0.908 0.276
Dy: 0.092 0.092 0.724
Dy: 0.818 0.818 0.545
Dy: 0.182 0.182 0.455
Dy: 0.636 0.636 0.092
Dy: 0.364 0.364 0.908
Tm: 0.545 0.545 0.366
Tm: 0.455 0.455 0.634

***

Stability, lowest: run i

***

Run i
Here is a geometry-optimized PmDy5Tm5 structure from the Alexandria database. Energies are from PBE.

Results
SG	P-1
D(E_F)	1.4585	states/eV per atom
theoretical density	8438	kg/m3

Lattice parameters (Å, degrees): 6.931 9.441 8.133 115.71 52.79 121.90
Atoms (fractional coordinates):
Pm: 0.000 0.000 0.000
Dy: 0.854 0.642 0.157
Dy: 0.745 0.656 0.677
Dy: 0.500 0.000 0.000
Dy: 0.255 0.344 0.323
Dy: 0.146 0.358 0.843
Tm: 0.681 0.285 0.354
Tm: 0.667 0.317 0.789
Tm: 0.000 0.000 0.500
Tm: 0.333 0.683 0.211
Tm: 0.319 0.715 0.646

***

Run ii
Here is a geometry-optimized PmDy5Tm5 structure from the Alexandria database. Energies are from PBE.

Results
SG	P-6m2
D(E_F)	1.9692	states/eV per atom
theoretical density	8265	kg/m3

Lattice parameters (Å, degrees): 6.000 6.000 11.613 90.00 90.00 120.00
Atoms (fractional coordinates):
Pm: 0.333 0.667 0.000
Dy: 0.667 0.333 0.156
Dy: 0.667 0.333 0.844
Dy: 0.333 0.667 0.321
Dy: 0.333 0.667 0.679
Dy: 0.000 0.000 0.000
Tm: 0.334 0.167 0.500
Tm: 0.000 0.000 0.265
Tm: 0.833 0.666 0.500
Tm: 0.833 0.167 0.500
Tm: 0.000 0.000 0.735

***

Stability, lowest: run ii

***

Run i
Here is a geometry-optimized Pm2Dy6Tm3 structure from the Alexandria database. Energies are from PBE.

Results
SG	C2/m
D(E_F)	1.6060	states/eV per atom
theoretical density	8002	kg/m3

Lattice parameters (Å, degrees): 6.084 6.091 11.636 84.95 79.85 60.04
Atoms (fractional coordinates):
Pm: 0.167 0.667 0.500
Pm: 0.833 0.333 0.500
Dy: 0.416 0.666 0.754
Dy: 0.749 0.000 0.754
Dy: 0.082 0.334 0.754
Dy: 0.251 0.000 0.246
Dy: 0.584 0.334 0.246
Dy: 0.918 0.666 0.246
Tm: 0.000 0.000 0.000
Tm: 0.335 0.331 0.000
Tm: 0.665 0.669 0.000

***

Run ii
Here is a geometry-optimized Pm2Dy6Tm3 structure from the Alexandria database. Energies are from PBE.

Results
SG	I4/mmm
D(E_F)	1.4008	states/eV per atom
theoretical density	8001	kg/m3

Lattice parameters (Å, degrees): 4.714 4.714 16.878 98.03 98.03 90.00
Atoms (fractional coordinates):
Pm: 0.454 0.454 0.908
Pm: 0.546 0.546 0.092
Dy: 0.122 0.622 0.244
Dy: 0.622 0.122 0.244
Dy: 0.878 0.378 0.756
Dy: 0.378 0.878 0.756
Dy: 0.697 0.697 0.394
Dy: 0.303 0.303 0.606
Tm: 0.000 0.000 0.000
Tm: 0.800 0.800 0.600
Tm: 0.200 0.200 0.400

***

Stability, lowest: run ii

***

Run i
Here is a geometry-optimized Pm4Dy3Tm2 structure from the Alexandria database. Energies are from PBE.

Results
SG	C2/m
D(E_F)	1.3919	states/eV per atom
theoretical density	7813	kg/m3

Lattice parameters (Å, degrees): 3.636 6.639 14.438 64.14 90.00 105.89
Atoms (fractional coordinates):
Pm: 0.650 0.300 0.128
Pm: 0.109 0.217 0.608
Pm: 0.891 0.783 0.392
Pm: 0.350 0.700 0.872
Dy: 0.380 0.760 0.612
Dy: 0.000 0.000 0.000
Dy: 0.620 0.240 0.388
Tm: 0.340 0.680 0.210
Tm: 0.660 0.320 0.790

***

Run ii
Here is a geometry-optimized Pm4Dy3Tm2 structure from the Alexandria database. Energies are from PBE.

Results
SG	C2/m
D(E_F)	1.4605	states/eV per atom
theoretical density	8010	kg/m3

Lattice parameters (Å, degrees): 5.054 7.995 8.010 107.47 108.39 90.00
Atoms (fractional coordinates):
Pm: 0.554 0.331 0.109
Pm: 0.777 0.668 0.555
Pm: 0.446 0.669 0.891
Pm: 0.223 0.332 0.445
Dy: 0.889 0.331 0.777
Dy: 0.111 0.669 0.223
Dy: 0.000 0.000 0.000
Tm: 0.333 0.000 0.665
Tm: 0.667 0.000 0.335

***

Stability, lowest: run i

***

Run i
Here is a geometry-optimized Pm3Dy7Y structure from the Alexandria database. Energies are from PBE.

Results
SG	P2/m
D(E_F)	1.5347	states/eV per atom
theoretical density	7581	kg/m3

Lattice parameters (Å, degrees): 8.917 10.043 5.543 90.00 128.43 106.02
Atoms (fractional coordinates):
Pm: 0.216 0.999 0.717
Pm: 0.000 0.500 0.000
Pm: 0.784 0.001 0.283
Dy: 0.912 0.830 0.912
Dy: 0.817 0.638 0.317
Dy: 0.644 0.289 0.144
Dy: 0.356 0.711 0.856
Dy: 0.500 0.000 0.500
Dy: 0.183 0.362 0.683
Dy: 0.088 0.170 0.088
Y: 0.500 0.500 0.500

***

Run ii
Here is a geometry-optimized Pm3Dy7Y structure from the Alexandria database. Energies are from PBE.

Results
SG	Immm
D(E_F)	1.4024	states/eV per atom
theoretical density	7509	kg/m3

Lattice parameters (Å, degrees): 5.847 8.449 8.449 83.31 110.26 110.26
Atoms (fractional coordinates):
Pm: 0.000 0.788 0.212
Pm: 0.500 0.000 0.000
Pm: 0.000 0.212 0.788
Dy: 0.205 0.205 0.205
Dy: 0.293 0.989 0.597
Dy: 0.707 0.403 0.011
Dy: 0.293 0.597 0.989
Dy: 0.000 0.500 0.500
Dy: 0.707 0.011 0.403
Dy: 0.795 0.795 0.795
Y: 0.500 0.500 0.500

***

Stability, lowest: run ii

***

Run i
Here is a geometry-optimized Pm4Dy6Y structure from the Alexandria database. Energies are from PBE.

Results
SG	I-42m
D(E_F)	1.2650	states/eV per atom
theoretical density	7046	kg/m3

Lattice parameters (Å, degrees): 7.685 7.685 8.518 116.82 116.82 90.00
Atoms (fractional coordinates):
Pm: 0.097 0.750 0.848
Pm: 0.903 0.903 0.152
Pm: 0.750 0.097 0.848
Pm: 0.250 0.250 0.152
Dy: 0.928 0.443 0.370
Dy: 0.443 0.928 0.370
Dy: 0.557 0.557 0.630
Dy: 0.000 0.500 0.000
Dy: 0.072 0.072 0.630
Dy: 0.500 0.000 0.000
Y: 0.500 0.500 0.000

***

Run ii
Here is a geometry-optimized Pm4Dy6Y structure from the Alexandria database. Energies are from PBE.

Results
SG	I-42m
D(E_F)	1.3237	states/eV per atom
theoretical density	7246	kg/m3

Lattice parameters (Å, degrees): 9.760 9.760 9.760 57.45 140.26 140.26
Atoms (fractional coordinates):
Pm: 0.000 0.635 0.013
Pm: 0.378 0.365 0.365
Pm: 0.000 0.013 0.635
Pm: 0.622 0.987 0.987
Dy: 0.000 0.805 0.448
Dy: 0.000 0.448 0.805
Dy: 0.356 0.552 0.552
Dy: 0.500 0.500 0.000
Dy: 0.644 0.195 0.195
Dy: 0.500 0.000 0.500
Y: 0.000 0.000 0.000

***

Stability, lowest: run i

***

Run i
Here is a geometry-optimized PmDy2Y structure from the Alexandria database. Energies are from PBE.

Results
SG	R-3m
D(E_F)	1.4310	states/eV per atom
theoretical density	7178	kg/m3

Lattice parameters (Å, degrees): 3.578 3.578 11.842 81.31 81.31 60.00
Atoms (fractional coordinates):
Y: 0.500 0.500 0.500
Pm: 0.000 0.000 0.000
Dy: 0.751 0.751 0.748
Dy: 0.249 0.249 0.252

***

Run ii
Here is a geometry-optimized PmDy2Y structure from the Alexandria database. Energies are from PBE.

Results
SG	C2/m
D(E_F)	1.7288	states/eV per atom
theoretical density	6929	kg/m3

Lattice parameters (Å, degrees): 3.557 6.800 11.500 93.75 90.00 105.16
Atoms (fractional coordinates):
Pm: 0.133 0.266 0.019
Pm: 0.867 0.734 0.981
Dy: 0.767 0.535 0.255
Dy: 0.491 0.983 0.227
Dy: 0.509 0.017 0.773
Dy: 0.233 0.465 0.745
Y: 0.633 0.265 0.500
Y: 0.367 0.735 0.500

***

Stability, lowest: run ii

***

Run i
Here is a geometry-optimized PmDy2Y structure from the Alexandria database. Energies are from PBE.

Results
SG	P4/mmm
D(E_F)	1.3241	states/eV per atom
theoretical density	7166	kg/m3

Lattice parameters (Å, degrees): 3.577 3.577 10.120 90.00 90.00 90.00
Atoms (fractional coordinates):
Y: 0.500 0.500 0.500
Pm: 0.500 0.500 0.000
Dy: 0.000 0.000 0.748
Dy: 0.000 0.000 0.252

***

Run ii
Here is a geometry-optimized PmDy2Y structure from the Alexandria database. Energies are from PBE.

Results
SG	R3m
D(E_F)	1.4556	states/eV per atom
theoretical density	7144	kg/m3

Lattice parameters (Å, degrees): 3.600 3.600 11.758 81.19 81.19 60.00
Atoms (fractional coordinates):
Pm: 0.500 0.500 0.499
Dy: 0.083 0.083 0.752
Dy: 0.251 0.251 0.248
Y: 0.666 0.666 0.001

***

Stability, lowest: run i